(1)
The following is a DFT calculation (PBE) of crystalline VNi5H4 at its relaxed geometry.

The structure in POSCAR format:
```
VNi5H4
1.0
2.5529 0.0000 -0.5559
-0.2653 5.0596 -1.2184
-0.0592 0.0676 5.8681
V Ni H
1 5 4
direct
0.5000 0.0000 0.0000
0.1673 0.3373 0.3346
0.1653 0.8313 0.3306
0.8347 0.1687 0.6694
0.5000 0.5000 0.0000
0.8327 0.6627 0.6654
0.6788 0.1072 0.3576
0.0000 0.2703 0.0000
0.3212 0.8928 0.6424
0.0000 0.7297 0.0000
```

## Properties
VASP energy = -5.217 eV/atom
Calculated volume = 7.6 Å³ per atom

(2)
The following is a DFT calculation (PBE) of crystalline VNiH2 at its relaxed geometry.

The structure in POSCAR format:
```
VNiH2
1.0
2.7619 0.0006 -0.0007
1.3816 2.4005 -0.0015
1.3803 0.7967 4.6573
V Ni H
1 1 2
direct
0.2328 0.6777 0.1996
0.7450 0.1890 0.6643
0.1009 0.5463 0.5950
0.6257 0.0716 0.0196
```

## Properties
VASP energy = -5.452 eV/atom
Energy relative to the lowest polymorph listed for this composition = 95 meV/atom
Calculated volume = 7.7 Å³ per atom

(3)
The following is a DFT calculation (PBE) of crystalline V5Ni2H4 at its relaxed geometry.

The structure in POSCAR format:
```
V5Ni2H4
1.0
2.5740 0.0000 0.0000
0.0000 4.9415 -1.2388
-1.2870 -4.2129 8.9899
V Ni H
5 2 4
direct
0.1821 0.7024 0.3642
0.8179 0.2976 0.6358
0.1775 0.2000 0.3550
0.5000 0.0000 0.0000
0.8225 0.8000 0.6450
0.4269 0.3217 0.8537
0.5731 0.6783 0.1463
0.6326 0.3403 0.2651
0.0446 0.8643 0.0892
0.3674 0.6597 0.7349
0.9554 0.1357 0.9108
```

## Properties
VASP energy = -6.412 eV/atom
Calculated volume = 9.2 Å³ per atom

Among the records above, which one has the highest VASP energy?
VNi5H4

Which value of VASP energy does entry 2 give?
-5.452 eV/atom

Among the records above, which one has the highest VASP energy?
VNi5H4

The highest calculated volume belongs to which entry?
V5Ni2H4